No. 1
Below is a relaxed Pb2WAu crystal, with properties calculated at the GGA-PBE level.

The space group is Fm-3m (No. 225) and the conventional cell measures 7.070, 7.070 and 7.070 Å, with angles of 90.00, 90.00 and 90.00 degrees. The inequivalent atoms are Pb at (0.250, 0.250, 0.250), W at (0.000, 0.000, 0.000) and Au at (0.000, 0.000, 0.500).

For the total moment, the calculation gives 3.4 Bohr magnetons per cell. The calculation puts the energy above the most stable polymorph in this dataset at 515 meV/atom. The calculated formation energy comes out at 95 kJ/mol of atoms.



No. 2
Below is a relaxed Pb2WAu crystal, with properties calculated at the GGA-PBE level.

The space group is Pmm2 (No. 25) and the conventional cell measures 3.085, 3.878 and 8.010 Å, with angles of 90.00, 90.00 and 90.00 degrees. The inequivalent atoms are Pb at (0.000, 0.000, 0.000), Pb at (0.500, 0.500, 0.367), W at (0.000, 0.000, 0.607) and Au at (0.500, 0.500, 0.767).

For the total moment, the calculation gives 0.0 Bohr magnetons per cell. The calculation puts the energy above the most stable polymorph in this dataset at 111 meV/atom. The calculated formation energy comes out at 56 kJ/mol of atoms.



No. 3
Below is a relaxed Pb2WAu crystal, with properties calculated at the GGA-PBE level.

The space group is Pmmm (No. 47) and the conventional cell measures 3.152, 5.047 and 5.602 Å, with angles of 90.00, 90.00 and 90.00 degrees. The inequivalent atoms are Pb at (0.000, 0.000, 0.000), Pb at (0.500, 0.000, 0.500), W at (0.000, 0.500, 0.500) and Au at (0.500, 0.500, 0.000).

For the total moment, the calculation gives 0.0 Bohr magnetons per cell. The calculation puts the energy above the most stable polymorph in this dataset at 412 meV/atom. The calculated formation energy comes out at 85 kJ/mol of atoms.